1.
Density functional theory data (PBE) for a geometry-optimized BaNb2Se8 structure.

```
BaNb2Se8
1.0
-2.302 -2.676 3.541
-0.889 -5.410 -5.274
6.726 -0.295 3.542
Se Nb Ba
8 2 1
Cartesian
2.110 -0.491 0.969
1.425 -7.890 0.840
0.030 -1.888 -1.438
-0.085 -5.435 -1.240
0.877 -4.292 1.733
3.505 -6.493 3.247
2.659 -4.089 0.076
3.620 -2.946 3.049
4.304 -1.922 0.737
1.534 -3.783 -2.469
-1.151 -1.338 1.771
```

Summary:
Symmetry   C2/m (12)
Energy relative to the elements, uncorrected   -687 meV per atom



2.
Density functional theory data (PBE) for a geometry-optimized DyTmAlRh structure.

```
DyTmAlRh
1.0
4.958 0.000 0.000
2.479 4.294 0.000
2.479 1.431 4.048
Dy Rh Al Tm
1 1 1 1
Cartesian
7.437 4.294 3.036
0.000 0.000 0.000
4.958 2.862 2.024
2.479 1.431 1.012
```

Summary:
Symmetry   F-43m (216)
E   -5.63 eV per atom



| no. | theoretical density (g cm⁻³) |
| --- | --- |
| 1 | 6.006 |
| 2 | 8.890 |